1.
The following is a DFT calculation (PBE-GGA) of crystalline Ta2CrAg at its relaxed geometry.

Properties
* D(E_F): 4.014 states/eV/f.u.
* energy above the lowest structure with this stoichiometry: 285 meV per atom
* raw total energy: -0.628 Ry/atom
* ΔE_f: 495 meV per atom
* size of the total moment: 0.0 Bohr magnetons per cell

```
data_Ta2CrAg
_cell_length_a 2.8093
_cell_length_b 2.8093
_cell_length_c 29.5428
_cell_angle_alpha 90.00
_cell_angle_beta 90.00
_cell_angle_gamma 120.00
_space_group_name_H-M_alt 'P 1'
_space_group_IT_number 1
loop_
_space_group_symop_operation_xyz
'x,y,z'
loop_
_atom_site_label
_atom_site_fract_x
_atom_site_fract_y
_atom_site_fract_z
Ta1 0.0000 0.0000 0.0000
Ta2 0.0000 0.0000 0.2445
Ta3 0.3333 0.6667 0.6667
Ta4 0.3333 0.6667 0.9111
Ta5 0.6667 0.3333 0.3333
Ta6 0.6667 0.3333 0.5778
Cr1 0.0000 0.0000 0.7461
Cr2 0.3333 0.6667 0.4128
Cr3 0.6667 0.3333 0.0794
Ag1 0.0000 0.0000 0.4910
Ag2 0.3333 0.6667 0.1576
Ag3 0.6667 0.3333 0.8243
```

---

2.
The following is a DFT calculation (PBE-GGA) of crystalline PaSn at its relaxed geometry.

Properties
* D(E_F): 5.101 states/eV/f.u.
* raw total energy: -0.500 Ry/atom
* ΔE_f: -60 meV per atom
* size of the total moment: 1.1 Bohr magnetons per cell

```
data_PaSn
_cell_length_a 3.7421
_cell_length_b 3.7421
_cell_length_c 3.7421
_cell_angle_alpha 90.00
_cell_angle_beta 90.00
_cell_angle_gamma 90.00
_space_group_name_H-M_alt 'P 1'
_space_group_IT_number 1
loop_
_space_group_symop_operation_xyz
'x,y,z'
loop_
_atom_site_label
_atom_site_fract_x
_atom_site_fract_y
_atom_site_fract_z
Pa1 0.0000 0.0000 0.0000
Sn1 0.5000 0.5000 0.5000
```

---

3.
The following is a DFT calculation (PBE-GGA) of crystalline CsNpBeSe3 at its relaxed geometry.

Properties
* formation energy from raw total energies: -612 kJ/mol of formula units
* D(E_F): 10.050 states/eV/f.u.
* raw total energy: -0.420 Ry/atom
* size of the total moment: 8.0 Bohr magnetons per cell

```
data_CsNpBeSe3
_cell_length_a 9.9739
_cell_length_b 4.0819
_cell_length_c 9.9953
_cell_angle_alpha 90.00
_cell_angle_beta 112.13
_cell_angle_gamma 90.00
_space_group_name_H-M_alt 'P 1'
_space_group_IT_number 1
loop_
_space_group_symop_operation_xyz
'x,y,z'
loop_
_atom_site_label
_atom_site_fract_x
_atom_site_fract_y
_atom_site_fract_z
Cs1 0.2429 0.2500 0.2118
Cs2 0.7571 0.7500 0.7882
Np1 0.1475 0.2500 0.6695
Np2 0.8525 0.7500 0.3305
Be1 0.3928 0.7500 0.9217
Be2 0.6072 0.2500 0.0783
Se1 0.1587 0.7500 0.8804
Se2 0.1622 0.7500 0.4730
Se3 0.4658 0.2500 0.8395
Se4 0.5342 0.7500 0.1605
Se5 0.8378 0.2500 0.5270
Se6 0.8413 0.2500 0.1196
```

---

4.
The following is a DFT calculation (PBE-GGA) of crystalline NdSmBr5 at its relaxed geometry.

Properties
* formation energy from raw total energies: -1222 kJ/mol of formula units
* D(E_F): 0.871 states/eV/f.u.
* raw total energy: -0.320 Ry/atom
* size of the total moment: 2.0 Bohr magnetons per cell

```
data_NdSmBr5
_cell_length_a 8.5490
_cell_length_b 4.1003
_cell_length_c 13.7739
_cell_angle_alpha 90.00
_cell_angle_beta 94.37
_cell_angle_gamma 90.00
_space_group_name_H-M_alt 'P 1'
_space_group_IT_number 1
loop_
_space_group_symop_operation_xyz
'x,y,z'
loop_
_atom_site_label
_atom_site_fract_x
_atom_site_fract_y
_atom_site_fract_z
Nd1 0.1013 0.2500 0.1519
Nd2 0.8987 0.7500 0.8481
Sm1 0.4183 0.7500 0.3440
Sm2 0.5817 0.2500 0.6560
Br1 0.0669 0.7500 0.3087
Br2 0.1343 0.2500 0.9287
Br3 0.3211 0.2500 0.4832
Br4 0.3494 0.7500 0.1265
Br5 0.3661 0.7500 0.7119
Br6 0.6339 0.2500 0.2881
Br7 0.6506 0.2500 0.8735
Br8 0.6789 0.7500 0.5168
Br9 0.8657 0.7500 0.0713
Br10 0.9331 0.2500 0.6913
```

---

5.
The following is a DFT calculation (PBE-GGA) of crystalline MnBeB2Cl at its relaxed geometry.

Properties
* formation energy from raw total energies: 590 kJ/mol of formula units
* D(E_F): 3.447 states/eV/f.u.
* energy above the lowest structure with this stoichiometry: 32 meV per atom
* raw total energy: -0.323 Ry/atom
* size of the total moment: 0.0 Bohr magnetons per cell

```
data_MnBeB2Cl
_cell_length_a 3.7451
_cell_length_b 3.7451
_cell_length_c 4.8983
_cell_angle_alpha 90.00
_cell_angle_beta 90.00
_cell_angle_gamma 90.00
_space_group_name_H-M_alt 'P 1'
_space_group_IT_number 1
loop_
_space_group_symop_operation_xyz
'x,y,z'
loop_
_atom_site_label
_atom_site_fract_x
_atom_site_fract_y
_atom_site_fract_z
Mn1 0.0000 0.0000 0.0000
Be1 0.5000 0.5000 0.5000
B1 0.0000 0.5000 0.0000
B2 0.5000 0.0000 0.0000
Cl1 0.0000 0.0000 0.5000
```

---

6.
The following is a DFT calculation (PBE-GGA) of crystalline ZnCdBS2 at its relaxed geometry.

Properties
* formation energy from raw total energies: 307 kJ/mol of formula units
* D(E_F): 2.036 states/eV/f.u.
* raw total energy: -0.205 Ry/atom
* size of the total moment: 0.0 Bohr magnetons per cell

```
data_ZnCdBS2
_cell_length_a 4.0508
_cell_length_b 4.0508
_cell_length_c 5.7821
_cell_angle_alpha 90.00
_cell_angle_beta 90.00
_cell_angle_gamma 90.00
_space_group_name_H-M_alt 'P 1'
_space_group_IT_number 1
loop_
_space_group_symop_operation_xyz
'x,y,z'
loop_
_atom_site_label
_atom_site_fract_x
_atom_site_fract_y
_atom_site_fract_z
Zn1 0.0000 0.0000 0.0000
Cd1 0.5000 0.5000 0.0000
B1 0.5000 0.5000 0.5000
S1 0.0000 0.5000 0.5000
S2 0.5000 0.0000 0.5000
```

---

7.
The following is a DFT calculation (PBE-GGA) of crystalline TlP at its relaxed geometry.

Properties
* D(E_F): 0.341 states/eV/f.u.
* raw total energy: -0.262 Ry/atom
* ΔE_f: 323 meV per atom
* size of the total moment: 0.0 Bohr magnetons per cell

```
data_TlP
_cell_length_a 7.5214
_cell_length_b 7.5214
_cell_length_c 7.5214
_cell_angle_alpha 90.00
_cell_angle_beta 90.00
_cell_angle_gamma 90.00
_space_group_name_H-M_alt 'P 1'
_space_group_IT_number 1
loop_
_space_group_symop_operation_xyz
'x,y,z'
loop_
_atom_site_label
_atom_site_fract_x
_atom_site_fract_y
_atom_site_fract_z
Tl1 0.0000 0.2500 0.5000
Tl2 0.0000 0.7500 0.5000
Tl3 0.2500 0.5000 0.0000
Tl4 0.5000 0.0000 0.2500
Tl5 0.5000 0.0000 0.7500
Tl6 0.7500 0.5000 0.0000
P1 0.0000 0.5000 0.2500
P2 0.0000 0.5000 0.7500
P3 0.2500 0.0000 0.5000
P4 0.5000 0.2500 0.0000
P5 0.5000 0.7500 0.0000
P6 0.7500 0.0000 0.5000
```

---

8.
The following is a DFT calculation (PBE-GGA) of crystalline Cu2H2Pd3 at its relaxed geometry.

Properties
* D(E_F): 2.041 states/eV/f.u.
* raw total energy: -0.320 Ry/atom
* size of the total moment: 0.0 Bohr magnetons per cell

```
data_Cu2H2Pd3
_cell_length_a 8.7256
_cell_length_b 2.7702
_cell_length_c 6.9910
_cell_angle_alpha 90.00
_cell_angle_beta 109.16
_cell_angle_gamma 90.00
_space_group_name_H-M_alt 'P 1'
_space_group_IT_number 1
loop_
_space_group_symop_operation_xyz
'x,y,z'
loop_
_atom_site_label
_atom_site_fract_x
_atom_site_fract_y
_atom_site_fract_z
Cu1 0.1736 0.0000 0.2897
Cu2 0.3264 0.5000 0.7103
Cu3 0.6736 0.5000 0.2897
Cu4 0.8264 0.0000 0.7103
H1 0.0384 0.0000 0.7110
H2 0.4616 0.5000 0.2890
H3 0.5384 0.5000 0.7110
H4 0.9616 0.0000 0.2890
Pd1 0.0000 0.5000 0.5000
Pd2 0.1117 0.5000 0.9080
Pd3 0.3883 0.0000 0.0920
Pd4 0.5000 0.0000 0.5000
Pd5 0.6117 0.0000 0.9080
Pd6 0.8883 0.5000 0.0920
```

---

9.
The following is a DFT calculation (PBE-GGA) of crystalline CeSc2Sn2 at its relaxed geometry.

Properties
* D(E_F): 9.032 states/eV/f.u.
* raw total energy: -0.428 Ry/atom
* ΔE_f: -509 meV per atom
* size of the total moment: 2.4 Bohr magnetons per cell

```
data_CeSc2Sn2
_cell_length_a 4.9856
_cell_length_b 4.9856
_cell_length_c 17.8149
_cell_angle_alpha 90.00
_cell_angle_beta 90.00
_cell_angle_gamma 120.00
_space_group_name_H-M_alt 'P 1'
_space_group_IT_number 1
loop_
_space_group_symop_operation_xyz
'x,y,z'
loop_
_atom_site_label
_atom_site_fract_x
_atom_site_fract_y
_atom_site_fract_z
Ce1 0.0000 0.0000 0.0000
Ce2 0.3333 0.6667 0.6667
Ce3 0.6667 0.3333 0.3333
Sc1 0.0000 0.0000 0.2028
Sc2 0.0000 0.0000 0.7972
Sc3 0.3333 0.6667 0.4639
Sc4 0.3333 0.6667 0.8694
Sc5 0.6667 0.3333 0.1306
Sc6 0.6667 0.3333 0.5361
Sn1 0.0000 0.0000 0.4136
Sn2 0.0000 0.0000 0.5864
Sn3 0.3333 0.6667 0.0803
Sn4 0.3333 0.6667 0.2531
Sn5 0.6667 0.3333 0.7469
Sn6 0.6667 0.3333 0.9197
```

---

10.
The following is a DFT calculation (PBE-GGA) of crystalline Cd2SbAs at its relaxed geometry.

Properties
* formation energy from raw total energies: 30 kJ/mol of formula units
* D(E_F): 1.865 states/eV/f.u.
* energy above the lowest structure with this stoichiometry: 43 meV per atom
* raw total energy: -0.189 Ry/atom
* size of the total moment: 0.0 Bohr magnetons per cell

```
data_Cd2SbAs
_cell_length_a 4.1365
_cell_length_b 4.4274
_cell_length_c 5.8364
_cell_angle_alpha 108.74
_cell_angle_beta 99.45
_cell_angle_gamma 99.27
_space_group_name_H-M_alt 'P 1'
_space_group_IT_number 1
loop_
_space_group_symop_operation_xyz
'x,y,z'
loop_
_atom_site_label
_atom_site_fract_x
_atom_site_fract_y
_atom_site_fract_z
Cd1 0.0051 0.2314 0.2634
Cd2 0.9949 0.7686 0.7366
Sb1 0.5000 0.5000 0.0000
As1 0.5000 0.0000 0.5000
```

---

11.
The following is a DFT calculation (PBE-GGA) of crystalline Al2Zn2Ag3 at its relaxed geometry.

Properties
* D(E_F): 3.636 states/eV/f.u.
* energy above the lowest structure with this stoichiometry: 120 meV per atom
* raw total energy: -0.188 Ry/atom
* ΔE_f: 99 meV per atom
* size of the total moment: 0.0 Bohr magnetons per cell

```
data_Al2Zn2Ag3
_cell_length_a 6.8863
_cell_length_b 6.8863
_cell_length_c 6.8863
_cell_angle_alpha 109.47
_cell_angle_beta 109.47
_cell_angle_gamma 109.47
_space_group_name_H-M_alt 'P 1'
_space_group_IT_number 1
loop_
_space_group_symop_operation_xyz
'x,y,z'
loop_
_atom_site_label
_atom_site_fract_x
_atom_site_fract_y
_atom_site_fract_z
Al1 0.0000 0.0355 0.5000
Al2 0.0355 0.5000 0.0000
Al3 0.4645 0.4645 0.4645
Al4 0.5000 0.0000 0.0355
Zn1 0.0000 0.6658 0.5000
Zn2 0.5000 0.0000 0.6658
Zn3 0.6658 0.5000 0.0000
Zn4 0.8342 0.8342 0.8342
Ag1 0.2262 0.9762 0.2500
Ag2 0.2500 0.2262 0.9762
Ag3 0.2738 0.5238 0.7500
Ag4 0.5238 0.7500 0.2738
Ag5 0.7500 0.2738 0.5238
Ag6 0.9762 0.2500 0.2262
```

---

12.
The following is a DFT calculation (PBE-GGA) of crystalline BaRuCl2 at its relaxed geometry.

Properties
* formation energy from raw total energies: -188 kJ/mol of formula units
* D(E_F): 1.396 states/eV/f.u.
* energy above the lowest structure with this stoichiometry: 286 meV per atom
* raw total energy: -0.309 Ry/atom
* size of the total moment: 2.3 Bohr magnetons per cell

```
data_BaRuCl2
_cell_length_a 4.6369
_cell_length_b 4.0629
_cell_length_c 5.9686
_cell_angle_alpha 90.00
_cell_angle_beta 111.67
_cell_angle_gamma 90.00
_space_group_name_H-M_alt 'P 1'
_space_group_IT_number 1
loop_
_space_group_symop_operation_xyz
'x,y,z'
loop_
_atom_site_label
_atom_site_fract_x
_atom_site_fract_y
_atom_site_fract_z
Ba1 0.0000 0.0000 0.0000
Ru1 0.0000 0.5000 0.5000
Cl1 0.5000 0.0000 0.5000
Cl2 0.5000 0.5000 0.0000
```